NaTmIr after structural relaxation. Source: the Open Quantum Materials Database, functional PBE.

Cell lengths 4.644, 4.644, 4.644 Å; angles 60.00, 60.00, 60.00 degrees
Fractional positions:
Na: 0.000 0.000 0.000
Tm: 0.750 0.750 0.750
Ir: 0.500 0.500 0.500

Output
symmetry: F-43m, No. 216
offset from the most stable computed form: 346 meV per atom
uncorrected energy: -4.5833 eV per atom

RbAg3GeTe4 after structural relaxation. Source: the Open Quantum Materials Database, functional PBE.

Cell lengths 7.051, 7.051, 7.051 Å; angles 90.00, 90.00, 90.00 degrees
Fractional positions:
Rb: 0.000 0.000 0.000
Ag: 0.000 0.500 0.500
Ag: 0.500 0.000 0.500
Ag: 0.500 0.500 0.000
Ge: 0.500 0.500 0.500
Te: 0.287 0.287 0.287
Te: 0.287 0.713 0.713
Te: 0.713 0.287 0.713
Te: 0.713 0.713 0.287

Output
symmetry: P-43m, No. 215
uncorrected energy: -3.1375 eV per atom

DyHoIn4Pd2 after structural relaxation. Source: the Open Quantum Materials Database, functional PBE.

Cell lengths 7.530, 5.738, 5.738 Å; angles 46.04, 90.00, 90.00 degrees
Fractional positions:
Dy: 0.000 0.000 0.000
Ho: 0.500 0.852 0.852
In: 0.201 0.289 0.289
In: 0.299 0.563 0.563
In: 0.701 0.563 0.563
In: 0.799 0.289 0.289
Pd: 0.000 0.715 0.715
Pd: 0.500 0.137 0.137

Output
symmetry: Amm2, No. 38
uncorrected energy: -4.4518 eV per atom

HoTlHgTe3 after structural relaxation. Source: the Open Quantum Materials Database, functional PBE.

Cell lengths 8.720, 4.427, 11.048 Å; angles 90.00, 107.58, 90.00 degrees
Fractional positions:
Ho: 0.188 0.250 0.142
Ho: 0.812 0.750 0.858
Tl: 0.242 0.750 0.712
Tl: 0.758 0.250 0.288
Hg: 0.419 0.750 0.382
Hg: 0.581 0.250 0.618
Te: 0.056 0.250 0.855
Te: 0.239 0.250 0.443
Te: 0.435 0.750 0.132
Te: 0.565 0.250 0.868
Te: 0.761 0.750 0.557
Te: 0.944 0.750 0.145

Output
symmetry: P2_1/m, No. 11
offset from the most stable computed form: 15 meV per atom
uncorrected energy: -3.4733 eV per atom

NaFe3Si5 after structural relaxation. Source: the Open Quantum Materials Database, functional PBE.

Cell lengths 4.944, 4.944, 6.003 Å; angles 90.00, 90.00, 120.00 degrees
Fractional positions:
Na: 0.000 0.000 0.000
Fe: 0.000 0.500 0.500
Fe: 0.500 0.000 0.500
Fe: 0.500 0.500 0.500
Si: 0.000 0.000 0.500
Si: 0.333 0.667 0.198
Si: 0.333 0.667 0.802
Si: 0.667 0.333 0.198
Si: 0.667 0.333 0.802

Output
symmetry: P6/mmm, No. 191
uncorrected energy: -6.0301 eV per atom

Zr2TaGe after structural relaxation. Source: the Open Quantum Materials Database, functional PBE.

Cell lengths 4.769, 4.769, 4.769 Å; angles 60.00, 60.00, 60.00 degrees
Fractional positions:
Zr: 0.000 0.000 0.000
Zr: 0.250 0.250 0.250
Ta: 0.750 0.750 0.750
Ge: 0.500 0.500 0.500

Output
symmetry: F-43m, No. 216
uncorrected energy: -8.4073 eV per atom

BaCdSO after structural relaxation. Source: the Open Quantum Materials Database, functional PBE.

Cell lengths 7.495, 7.654, 7.024 Å; angles 90.00, 90.00, 90.00 degrees
Fractional positions:
Ba: 0.099 0.149 0.000
Ba: 0.401 0.149 0.500
Ba: 0.599 0.851 0.000
Ba: 0.901 0.851 0.500
Cd: 0.057 0.649 0.070
Cd: 0.443 0.649 0.570
Cd: 0.557 0.351 0.070
Cd: 0.943 0.351 0.570
S: 0.142 0.583 0.730
S: 0.358 0.583 0.230
S: 0.642 0.417 0.730
S: 0.858 0.417 0.230
O: 0.081 0.107 0.631
O: 0.419 0.107 0.131
O: 0.581 0.893 0.631
O: 0.919 0.893 0.131

Output
symmetry: Pca2_1, No. 29
uncorrected energy: -4.5438 eV per atom

RbPm2 after structural relaxation. Source: the Open Quantum Materials Database, functional PBE.

Cell lengths 9.762, 9.762, 9.762 Å; angles 60.00, 60.00, 60.00 degrees
Fractional positions:
Rb: 0.125 0.125 0.125
Rb: 0.875 0.875 0.875
Pm: 0.000 0.000 0.000
Pm: 0.000 0.000 0.500
Pm: 0.000 0.500 0.000
Pm: 0.500 0.000 0.000

Output
symmetry: Fd-3m, No. 227
offset from the most stable computed form: 2324 meV per atom
uncorrected energy: -0.5685 eV per atom

ScTcB2 after structural relaxation. Source: the Open Quantum Materials Database, functional PBE.

Cell lengths 4.031, 4.031, 4.031 Å; angles 60.00, 60.00, 60.00 degrees
Fractional positions:
Sc: 0.000 0.000 0.000
Tc: 0.750 0.750 0.750
B: 0.250 0.250 0.250
B: 0.500 0.500 0.500

Output
symmetry: F-43m, No. 216
uncorrected energy: -6.6052 eV per atom

BeZnCuAg after structural relaxation. Source: the Open Quantum Materials Database, functional PBE.

Cell lengths 4.198, 4.198, 4.198 Å; angles 60.00, 60.00, 60.00 degrees
Fractional positions:
Be: 0.000 0.000 0.000
Zn: 0.500 0.500 0.500
Cu: 0.750 0.750 0.750
Ag: 0.250 0.250 0.250

Output
symmetry: F-43m, No. 216
offset from the most stable computed form: 0 meV per atom
uncorrected energy: -2.8043 eV per atom

PrAl5NiPd after structural relaxation. Source: the Open Quantum Materials Database, functional PBE.

Cell lengths 6.384, 6.384, 6.384 Å; angles 143.12, 111.38, 80.54 degrees
Fractional positions:
Pr: 0.000 0.000 0.000
Al: 0.158 0.354 0.804
Al: 0.478 0.661 0.817
Al: 0.513 0.013 0.500
Al: 0.550 0.354 0.196
Al: 0.844 0.661 0.183
Ni: 0.748 0.248 0.500
Pd: 0.265 0.765 0.500

Output
symmetry: Imm2, No. 44
uncorrected energy: -4.9227 eV per atom

SmZnInSe3 after structural relaxation. Source: the Open Quantum Materials Database, functional PBE.

Cell lengths 7.615, 7.615, 11.108 Å; angles 90.00, 90.00, 148.46 degrees
Fractional positions:
Sm: 0.000 0.000 0.000
Sm: 0.000 0.000 0.500
Zn: 0.464 0.536 0.750
Zn: 0.536 0.464 0.250
In: 0.247 0.753 0.250
In: 0.753 0.247 0.750
Se: 0.069 0.931 0.750
Se: 0.368 0.632 0.568
Se: 0.368 0.632 0.932
Se: 0.632 0.368 0.068
Se: 0.632 0.368 0.432
Se: 0.931 0.069 0.250

Output
symmetry: Cmcm, No. 63
offset from the most stable computed form: 2 meV per atom
uncorrected energy: -4.2632 eV per atom